SrV3Os, optimized geometry, DFT PBE; density of states at the Fermi level = 4.8 states/eV/f.u.; relative energy among the computed polymorphs = 0 meV/atom; space group = No. 221; energy = -7.31 eV/atom
1.0
4.827 0.000 0.000
0.000 4.827 0.000
0.000 0.000 4.827
Sr V Os
1 3 1
direct
0.000 0.000 0.000
0.000 0.500 0.500
0.500 0.000 0.500
0.500 0.500 0.000
0.500 0.500 0.500

SrVOs2, optimized geometry, DFT PBE; density of states at the Fermi level = 4.3 states/eV/f.u.; relative energy among the computed polymorphs = 0 meV/atom; space group = No. 141; energy = -7.52 eV/atom
1.0
4.965 0.000 0.000
0.000 4.965 0.000
0.000 0.000 16.231
Sr V Os
4 4 8
direct
0.000 0.250 0.375
0.000 0.750 0.625
0.500 0.250 0.125
0.500 0.750 0.875
0.000 0.250 0.875
0.000 0.750 0.125
0.500 0.250 0.625
0.500 0.750 0.375
0.000 0.000 0.000
0.000 0.500 0.000
0.250 0.250 0.750
0.250 0.750 0.250
0.500 0.000 0.500
0.500 0.500 0.500
0.750 0.250 0.750
0.750 0.750 0.250

SrV2Os2, optimized geometry, DFT PBE; density of states at the Fermi level = 6.1 states/eV/f.u.; relative energy among the computed polymorphs = 0 meV/atom; space group = No. 139; energy = -8.44 eV/atom
1.0
4.209 0.000 0.000
0.000 4.209 0.000
0.000 0.000 10.727
Sr V Os
2 4 4
direct
0.000 0.000 0.000
0.500 0.500 0.500
0.000 0.500 0.250
0.000 0.500 0.750
0.500 0.000 0.250
0.500 0.000 0.750
0.000 0.000 0.375
0.000 0.000 0.625
0.500 0.500 0.125
0.500 0.500 0.875

Sr2VOs, optimized geometry, DFT PBE; density of states at the Fermi level = 6.9 states/eV/f.u.; relative energy among the computed polymorphs = 322 meV/atom; space group = No. 225; energy = -4.87 eV/atom
1.0
7.431 0.000 0.000
0.000 7.431 0.000
0.000 0.000 7.431
Sr V Os
8 4 4
direct
0.250 0.250 0.250
0.250 0.250 0.750
0.250 0.750 0.250
0.250 0.750 0.750
0.750 0.250 0.250
0.750 0.250 0.750
0.750 0.750 0.250
0.750 0.750 0.750
0.000 0.000 0.000
0.000 0.500 0.500
0.500 0.000 0.500
0.500 0.500 0.000
0.000 0.000 0.500
0.000 0.500 0.000
0.500 0.000 0.000
0.500 0.500 0.500

Sr2VOs, optimized geometry, DFT PBE; density of states at the Fermi level = 4.4 states/eV/f.u.; relative energy among the computed polymorphs = 0 meV/atom; space group = No. 122; energy = -5.19 eV/atom
1.0
11.469 0.000 0.000
0.000 11.469 0.000
0.000 0.000 4.642
Sr V Os
8 4 4
direct
0.075 0.250 0.125
0.250 0.575 0.375
0.250 0.925 0.875
0.425 0.250 0.625
0.575 0.750 0.625
0.750 0.075 0.875
0.750 0.425 0.375
0.925 0.750 0.125
0.000 0.000 0.500
0.000 0.500 0.750
0.500 0.000 0.250
0.500 0.500 0.000
0.000 0.000 0.000
0.000 0.500 0.250
0.500 0.000 0.750
0.500 0.500 0.500

SrOs4W, optimized geometry, DFT PBE; density of states at the Fermi level = 4.5 states/eV/f.u.; space group = No. 216; energy = -9.27 eV/atom
1.0
0.000 3.728 3.728
3.728 0.000 3.728
3.728 3.728 0.000
Sr Os W
1 4 1
direct
0.000 0.000 0.000
0.375 0.375 0.375
0.375 0.375 0.875
0.375 0.875 0.375
0.875 0.375 0.375
0.750 0.750 0.750

SrOs2W, optimized geometry, DFT PBE; density of states at the Fermi level = 4.8 states/eV/f.u.; relative energy among the computed polymorphs = 832 meV/atom; space group = No. 47; energy = -7.99 eV/atom
1.0
2.974 0.000 0.000
0.000 4.772 0.000
0.000 0.000 4.984
Sr Os W
1 2 1
direct
0.000 0.000 0.000
0.000 0.500 0.500
0.500 0.500 0.000
0.500 0.000 0.500

Sr2OsW, optimized geometry, DFT PBE; density of states at the Fermi level = 2.5 states/eV/f.u.; relative energy among the computed polymorphs = 1075 meV/atom; space group = No. 166; energy = -5.47 eV/atom
1.0
3.097 0.000 0.000
-1.548 2.682 0.000
0.000 0.000 31.891
Sr Os W
6 3 3
direct
0.000 0.000 0.245
0.000 0.000 0.755
0.333 0.667 0.422
0.333 0.667 0.912
0.667 0.333 0.088
0.667 0.333 0.578
0.000 0.000 0.500
0.333 0.667 0.167
0.667 0.333 0.833
0.000 0.000 0.000
0.333 0.667 0.667
0.667 0.333 0.333

Question: Number 8 is which compound?
Answer: Sr2OsW